[1]
Compound: Al5Ag6
Source: Alexandria
Functional: meta-GGA SCAN
Structure: PBEsol geometry

Calculated values
Density of states at the Fermi level   2.99 states/eV/f.u.
Excess energy over the best structure of this formula in the dataset   5 meV/atom
Energy of formation   -0.078 eV/atom

Cell: 7.423 7.423 8.279 Å, 92.18 92.18 22.93°
Positions (direct):
Al 0.000 0.000 0.000
Al 0.179 0.179 0.908
Al 0.542 0.542 0.723
Al 0.814 0.814 0.101
Al 0.902 0.902 0.541
Ag 0.084 0.084 0.463
Ag 0.270 0.270 0.369
Ag 0.366 0.366 0.831
Ag 0.450 0.450 0.264
Ag 0.634 0.634 0.173
Ag 0.724 0.724 0.651



[2]
Compound: Al3Ag
Source: Alexandria
Functional: meta-GGA SCAN
Structure: PBEsol geometry

Calculated values
Density of states at the Fermi level   1.15 states/eV/f.u.
Energy of formation   -0.019 eV/atom

Cell: 8.542 8.542 8.542 Å, 152.90 152.68 38.86°
Positions (direct):
Al 0.064 0.814 0.250
Al 0.311 0.061 0.250
Al 0.438 0.688 0.750
Al 0.562 0.312 0.250
Al 0.689 0.939 0.750
Al 0.936 0.186 0.750
Ag 0.186 0.436 0.750
Ag 0.814 0.564 0.250



[3]
Compound: Al5Ag3
Source: Alexandria
Functional: meta-GGA SCAN
Structure: PBEsol geometry

Calculated values
Density of states at the Fermi level   2.59 states/eV/f.u.
Excess energy over the best structure of this formula in the dataset   44 meV/atom
Energy of formation   -0.028 eV/atom

Cell: 4.920 4.920 8.070 Å, 113.23 113.23 47.85°
Positions (direct):
Al 0.000 0.000 0.000
Al 0.005 0.005 0.493
Al 0.253 0.253 0.873
Al 0.746 0.746 0.125
Al 0.760 0.760 0.624
Ag 0.251 0.251 0.376
Ag 0.494 0.494 0.243
Ag 0.512 0.512 0.746